No. 1
# AlCdIn2

Crystalline AlCdIn2 at its relaxed geometry (PBE, the Alexandria database). Values from VASP.

Values from the calculation:
- electronic total energy (eV/atom) = -2.43
- magnetic moment (μB/atom) = 0.000
- DFT formation energy (eV per formula unit) = 0.407

The structure in Quantum ESPRESSO input format:
```
&SYSTEM
  ibrav = 0, nat = 4, ntyp = 3
/
ATOMIC_SPECIES
Cd 112.41 Cd.upf
Al 26.98 Al.upf
In 114.82 In.upf
ATOMIC_POSITIONS crystal
Cd 0.245 0.245 0.245
Al 0.502 0.502 0.502
In 0.998 0.998 0.998
In 0.755 0.755 0.755
CELL_PARAMETERS angstrom
10.313 -0.086 -0.050
9.821 3.148 -0.050
9.821 1.494 2.772
```

***

No. 2
# AlCd4In

Crystalline AlCd4In at its relaxed geometry (PBE, the Alexandria database). Values from VASP.

Values from the calculation:
- electronic total energy (eV/atom) = -1.49
- magnetic moment (μB/atom) = 0.000
- DFT formation energy (eV per formula unit) = 1.200

The structure in Quantum ESPRESSO input format:
```
&SYSTEM
  ibrav = 0, nat = 6, ntyp = 3
/
ATOMIC_SPECIES
Al 26.98 Al.upf
Cd 112.41 Cd.upf
In 114.82 In.upf
ATOMIC_POSITIONS crystal
Al 0.000 0.000 0.000
Cd 0.876 0.375 0.375
Cd 0.375 0.375 0.876
Cd 0.375 0.876 0.375
Cd 0.375 0.375 0.375
In 0.750 0.750 0.750
CELL_PARAMETERS angstrom
0.000 4.165 4.165
4.165 0.000 4.165
4.165 4.165 0.000
```

***

No. 3
# Al2CdIn

Crystalline Al2CdIn at its relaxed geometry (PBE, the Alexandria database). Values from VASP.

Values from the calculation:
- electronic total energy (eV/atom) = -2.62
- magnetic moment (μB/atom) = 0.000
- DFT formation energy (eV per formula unit) = 0.657

The structure in Quantum ESPRESSO input format:
```
&SYSTEM
  ibrav = 0, nat = 4, ntyp = 3
/
ATOMIC_SPECIES
Cd 112.41 Cd.upf
Al 26.98 Al.upf
In 114.82 In.upf
ATOMIC_POSITIONS crystal
Cd 0.500 0.000 0.500
Al 0.000 0.000 0.000
Al 0.500 0.500 0.000
In 0.000 0.500 0.500
CELL_PARAMETERS angstrom
-4.624 2.694 0.810
-0.829 -5.308 0.656
0.543 0.200 3.015
```